1.
11
Lattice="9.1195 -2.5924 0.0000 9.1195 2.5924 0.0000 -2.3982 0.0000 6.4522" Properties=species:S:1:pos:R:3 comment="Pm8GaNi2 (GGA-PBE, optimized geometry)" dos_at_fermi_per_ev_fu=9.88 relative_energy_kj_per_mol_fu=0 pbc="T T T"
Pm -0.0788 0.0000 1.8480
Pm 1.5574 0.0000 5.4467
Pm 4.6590 0.0000 3.1852
Pm 7.3328 0.0000 0.1512
Pm 8.5081 0.0000 6.3010
Pm 11.1818 0.0000 3.2669
Pm 14.2835 0.0000 1.0055
Pm 15.9197 0.0000 4.6041
Ga 7.9204 0.0000 3.2261
Ni 2.5697 0.0000 1.4192
Ni 13.2712 0.0000 5.0330



2.
10
Lattice="3.6029 0.0000 0.0000 0.0000 3.6029 0.0000 0.0000 0.0000 18.4843" Properties=species:S:1:pos:R:3 comment="Pm5Ga4Ni (GGA-PBE, optimized geometry)" e_tot_ev_per_atom=-4.661 dos_at_fermi_per_ev_fu=4.89 pbc="T T T"
Pm 0.0000 0.0000 0.0000
Pm 0.0000 0.0000 3.7846
Pm 0.0000 0.0000 7.5661
Pm 0.0000 0.0000 10.9183
Pm 0.0000 0.0000 14.6997
Ga 1.8015 1.8015 1.8797
Ga 1.8015 1.8015 5.6625
Ga 1.8015 1.8015 12.8218
Ga 1.8015 1.8015 16.6047
Ni 1.8015 1.8015 9.2422



3.
11
Lattice="7.0042 0.0000 0.0000 0.0000 3.8018 0.0000 -0.5465 0.0000 9.0434" Properties=species:S:1:pos:R:3 comment="Pm4Ga5Ni2 (GGA-PBE, optimized geometry)" e_tot_ev_per_atom=-4.637 dos_at_fermi_per_ev_fu=8.03 pbc="T T T"
Pm 1.0531 0.0000 3.3110
Pm 1.2151 0.0000 8.4697
Pm 5.2426 0.0000 0.5737
Pm 5.4046 0.0000 5.7324
Ga 0.9693 1.9009 5.9674
Ga 2.9498 1.9009 1.7228
Ga 3.2289 1.9009 4.5217
Ga 3.5080 1.9009 7.3206
Ga 5.4884 1.9009 3.0761
Ni 0.3901 1.9009 1.2140
Ni 6.0677 1.9009 7.8295



4.
14
Lattice="6.9422 0.0000 0.0000 0.0000 6.9422 0.0000 0.0000 0.0000 5.3754" Properties=species:S:1:pos:R:3 comment="PmGa2Ni4 (GGA-PBE, optimized geometry)" dos_at_fermi_per_ev_fu=6.02 relative_energy_kj_per_mol_fu=331 pbc="T T T"
Pm 0.0000 0.0000 0.0000
Pm 3.4711 3.4711 2.6877
Ga 0.0000 3.4711 1.3439
Ga 0.0000 3.4711 4.0316
Ga 3.4711 0.0000 1.3439
Ga 3.4711 0.0000 4.0316
Ni 0.0000 1.5798 2.6877
Ni 0.0000 5.3624 2.6877
Ni 1.5798 0.0000 2.6877
Ni 1.8913 3.4711 0.0000
Ni 3.4711 1.8913 0.0000
Ni 3.4711 5.0510 0.0000
Ni 5.0510 3.4711 0.0000
Ni 5.3624 0.0000 2.6877